Model A:
A plane-wave DFT calculation with PBE was carried out for a relaxed SrAgPt3 crystal.

a b c (Å): 4.9843 4.9843 4.9843
angles (deg): 90.00 90.00 90.00
Space group Pm-3m (No. 221)
Symmetry-distinct sites (fractional):
1 Sr 0.0000 0.0000 0.0000 x1
2 Ag 0.5000 0.5000 0.5000 x1
3 Pt 0.0000 0.5000 0.5000 x3


Model B:
A plane-wave DFT calculation with PBE was carried out for a relaxed SrAgPt3 crystal.

a b c (Å): 5.2175 5.2175 5.2175
angles (deg): 90.00 90.00 90.00
Space group Pm-3m (No. 221)
Symmetry-distinct sites (fractional):
1 Sr 0.0000 0.0000 0.0000 x1
2 Ag 0.5000 0.5000 0.5000 x1
3 Pt 0.0000 0.0000 0.5000 x3


Which structure is the least stable? The one labeled model B.


Model A:
A plane-wave DFT calculation with PBE was carried out for a relaxed Sr8Ag2Pt crystal.

a b c (Å): 13.7102 9.9591 7.3893
angles (deg): 90.00 108.32 90.00
Space group C2/m (No. 12)
Symmetry-distinct sites (fractional):
1 Sr 0.0830 0.0000 0.2850 x4
2 Sr 0.1309 0.5000 0.2466 x4
3 Sr 0.1435 0.2975 0.7431 x8
4 Ag 0.1793 0.0000 0.9335 x4
5 Pt 0.0000 0.5000 0.5000 x2


Model B:
A plane-wave DFT calculation with PBE was carried out for a relaxed Sr8Ag2Pt crystal.

a b c (Å): 20.6333 5.5335 7.6527
angles (deg): 90.00 104.51 90.00
Space group C2/m (No. 12)
Symmetry-distinct sites (fractional):
1 Sr 0.0324 0.0000 0.3044 x4
2 Sr 0.0875 0.5000 0.9158 x4
3 Sr 0.1555 0.5000 0.4689 x4
4 Sr 0.2143 0.0000 0.8227 x4
5 Ag 0.1884 0.0000 0.2299 x4
6 Pt 0.0000 0.5000 0.5000 x2


Which structure is the least stable? The one labeled model B.


Model A:
A plane-wave DFT calculation with PBE was carried out for a relaxed SrAgPt crystal.

a b c (Å): 4.6438 4.6438 4.0511
angles (deg): 90.00 90.00 120.00
Space group P-6m2 (No. 187)
Symmetry-distinct sites (fractional):
1 Sr 0.0000 0.0000 0.0000 x1
2 Ag 0.6667 0.3333 0.5000 x1
3 Pt 0.3333 0.6667 0.5000 x1


Model B:
A plane-wave DFT calculation with PBE was carried out for a relaxed SrAgPt crystal.

a b c (Å): 6.6964 5.7592 8.0932
angles (deg): 90.00 111.29 90.00
Space group P2_1/c (No. 14)
Symmetry-distinct sites (fractional):
1 Sr 0.1877 0.1108 0.3762 x4
2 Ag 0.4210 0.5969 0.3048 x4
3 Pt 0.1788 0.6160 0.5295 x4


Model C:
A plane-wave DFT calculation with PBE was carried out for a relaxed SrAgPt crystal.

a b c (Å): 3.7339 3.7339 10.1336
angles (deg): 90.00 90.00 90.00
Space group I4mm (No. 107)
Symmetry-distinct sites (fractional):
1 Sr 0.0000 0.0000 0.0000 x2
2 Ag 0.0000 0.0000 0.7037 x2
3 Pt 0.0000 0.0000 0.3139 x2


Which structure is the least stable? The one labeled model C.


Model A:
A plane-wave DFT calculation with PBE was carried out for a relaxed Sr2Ag2Pt crystal.

a b c (Å): 6.0246 6.0246 7.9892
angles (deg): 90.00 90.00 90.00
Space group I4/mmm (No. 139)
Symmetry-distinct sites (fractional):
1 Sr 0.0000 0.5000 0.2500 x4
2 Ag 0.0000 0.0000 0.1635 x4
3 Pt 0.0000 0.0000 0.5000 x2


Model B:
A plane-wave DFT calculation with PBE was carried out for a relaxed Sr2Ag2Pt crystal.

a b c (Å): 7.5819 7.5819 4.5623
angles (deg): 90.00 90.00 90.00
Space group P4/mbm (No. 127)
Symmetry-distinct sites (fractional):
1 Sr 0.1826 0.3174 0.0000 x4
2 Ag 0.1294 0.6294 0.5000 x4
3 Pt 0.0000 0.0000 0.5000 x2


Which structure is the least stable? The one labeled model A.